# RbFe2F8 | the Alexandria database | GGA+U | relaxed
data_RbFe2F8
_symmetry_space_group_name_H-M 'C 1 2/m 1'
_symmetry_Int_Tables_number 12
_cell_length_a 10.025
_cell_length_b 6.127
_cell_length_c 6.256
_cell_angle_alpha 90.00
_cell_angle_beta 98.65
_cell_angle_gamma 90.00
loop_
_symmetry_equiv_pos_as_xyz
'x,y,z'
'-x,-y,-z'
'-x,y,-z'
'x,-y,z'
'x+1/2,y+1/2,z'
'-x+1/2,-y+1/2,-z'
'-x+1/2,y+1/2,-z'
'x+1/2,-y+1/2,z'
loop_
_atom_site_label
_atom_site_fract_x
_atom_site_fract_y
_atom_site_fract_z
Rb1 0.000 0.000 0.000
Fe1 0.232 0.500 0.487
F1 0.129 0.227 0.403
F2 0.168 0.500 0.743
F3 0.219 0.000 0.781
# E above lowest polymorph (meV/atom): 0.0
# D(E_F) (states/eV/cell): 9.7
# VASP energy (eV/atom): -4.732